Model one:
Computed, not measured: crystalline CdTcI2 at its relaxed geometry at the PBE level of DFT.

Structure (POSCAR):
```
CdTcI2
1.0
-4.7336 4.7336 2.7808
4.7336 -4.7336 2.7808
4.7336 4.7336 -2.7808
Cd Tc I
2 2 4
Cartesian
0.0000 0.0000 0.0000
0.0000 4.7336 1.3904
4.7336 0.0000 1.3904
0.0000 0.0000 2.7808
2.3668 -1.0151 2.0856
3.7185 2.3668 0.6952
2.3668 5.7486 -0.6952
1.0151 2.3668 3.4759
```

Properties
Space group: I-42d, No. 122

---

Model two:
Computed, not measured: crystalline CdTcI2 at its relaxed geometry at the PBE level of DFT.

Structure (POSCAR):
```
CdTcI2
1.0
0.0000 3.6187 3.6187
3.6187 0.0000 3.6187
3.6187 3.6187 0.0000
Cd Tc I
1 1 2
Cartesian
0.0000 0.0000 0.0000
3.6187 3.6187 3.6187
1.8094 1.8094 1.8094
5.4281 5.4281 5.4281
```

Properties
Space group: Fm-3m, No. 225

---

How far above the most stable structure does each one sit? In eV/atom: model one 0.000; model two 0.561.

---

Model one:
Computed, not measured: crystalline CdTe2I at its relaxed geometry at the PBE level of DFT.

Structure (POSCAR):
```
CdTe2I
1.0
-3.9593 3.9593 4.9209
3.9593 -3.9593 4.9209
3.9593 3.9593 -4.9209
Cd Te I
2 4 2
Cartesian
0.0000 0.0000 0.0000
0.0000 3.9593 2.4604
5.9390 1.6697 -1.2302
1.6697 1.9797 1.2302
-1.9797 2.2897 3.6907
2.2897 1.9797 6.1511
3.9593 0.0000 2.4604
0.0000 0.0000 4.9209
```

Properties
Space group: I-42d, No. 122

---

Model two:
Computed, not measured: crystalline CdTe2I at its relaxed geometry at the PBE level of DFT.

Structure (POSCAR):
```
CdTe2I
1.0
2.2193 1.2813 9.0113
-2.2193 1.2813 9.0113
0.0000 -2.5626 9.0113
Cd Te I
1 2 1
Cartesian
0.0000 0.0000 0.0000
0.0000 0.0000 10.5651
0.0000 0.0000 16.4688
0.0000 0.0000 13.5170
```

Properties
Space group: R-3m, No. 166

---

Model three:
Computed, not measured: crystalline CdTe2I at its relaxed geometry at the PBE level of DFT.

Structure (POSCAR):
```
CdTe2I
1.0
0.0000 3.8798 3.8798
3.8798 0.0000 3.8798
3.8798 3.8798 0.0000
Cd Te I
1 2 1
Cartesian
0.0000 0.0000 0.0000
1.9399 1.9399 1.9399
5.8197 5.8197 5.8197
3.8798 3.8798 3.8798
```

Properties
Space group: Fm-3m, No. 225

---

How far above the most stable structure does each one sit? In eV/atom: model one 0.232; model two 0.000; model three 0.392.

---

Model one:
Computed, not measured: crystalline CdTeI at its relaxed geometry at the PBE level of DFT.

Structure (POSCAR):
```
CdTeI
1.0
7.2645 -2.1829 0.0000
7.2645 2.1829 0.0000
-4.1842 0.0000 7.0791
Cd Te I
2 2 2
Cartesian
-0.6078 0.0000 1.2237
10.9526 0.0000 5.8554
0.6573 0.0000 3.9615
9.6875 0.0000 3.1176
4.6275 0.0000 1.5540
5.7173 0.0000 5.5252
```

Properties
Space group: C2/m, No. 12

---

Model two:
Computed, not measured: crystalline CdTeI at its relaxed geometry at the PBE level of DFT.

Structure (POSCAR):
```
CdTeI
1.0
4.5746 0.0000 0.0000
2.2595 6.6947 0.0000
0.0320 1.3343 7.9133
Cd Te I
2 2 2
Cartesian
1.1296 2.9523 2.3009
5.7365 5.0767 5.6123
3.4471 5.8624 7.1390
3.4190 2.1666 0.7743
1.1297 2.2112 5.0822
5.7365 5.8179 2.8311
```

Properties
Space group: P-1, No. 2

---

How far above the most stable structure does each one sit? In eV/atom: model one 0.208; model two 0.000.

---

Model one:
Computed, not measured: crystalline TlCdTeI2 at its relaxed geometry at the PBE level of DFT.

Structure (POSCAR):
```
TlCdTeI2
1.0
5.9832 0.0000 0.0000
0.0000 5.9832 0.0000
0.0000 0.0000 5.6680
Tl Cd Te I
1 1 1 2
Cartesian
0.0000 0.0000 0.0000
2.9916 2.9916 2.8340
2.9916 2.9916 0.0000
0.0000 2.9916 2.8340
2.9916 0.0000 2.8340
```

Properties
Space group: P4/mmm, No. 123

---

Model two:
Computed, not measured: crystalline TlCdTeI2 at its relaxed geometry at the PBE level of DFT.

Structure (POSCAR):
```
TlCdTeI2
1.0
6.0208 0.0000 0.0000
0.0000 6.0208 0.0000
0.0000 0.0000 5.9400
Tl Cd Te I
1 1 1 2
Cartesian
0.0000 0.0000 0.0000
3.0104 3.0104 2.9700
0.0000 0.0000 2.9700
0.0000 3.0104 0.0000
3.0104 0.0000 0.0000
```

Properties
Space group: P4/mmm, No. 123

---

How far above the most stable structure does each one sit? In eV/atom: model one 0.000; model two 0.378.